DFT (PBE-GGA) results for a geometry-optimized Tb3AgS6 structure.

Results
Final energy in eV per atom: -5.579
V in Å³/cell: 464.0
Mass density in g cm⁻³: 5.562
SG: Cmc2_1, No. 36
Spin magnetization in Bohr magnetons per cell: 1.2

Lattice parameters (Å, degrees): 6.683 8.452 8.452 103.61 90.00 90.00
Each line ends with the local moment (μB).
Positions (direct):
1 Tb 0.487 0.293 0.083  0.01
2 Tb 0.890 0.597 0.403  0.00
3 Ag 0.980 0.152 0.848  0.05
4 Tb 0.987 0.083 0.293  0.01
5 S 0.685 0.634 0.693  0.01
6 S 0.185 0.693 0.634  0.01
7 S 0.641 0.230 0.770  0.05
8 S 0.193 0.099 0.583  0.13
9 S 0.185 0.366 0.307  0.01
10 Tb 0.487 0.917 0.707  0.01
11 Tb 0.390 0.403 0.597  0.00
12 S 0.244 0.009 0.991  0.01
13 S 0.693 0.583 0.099  0.13
14 S 0.693 0.901 0.417  0.13
15 Ag 0.480 0.848 0.152  0.05
16 S 0.744 0.991 0.009  0.01
17 Tb 0.987 0.707 0.917  0.01
18 S 0.141 0.770 0.230  0.05
19 S 0.193 0.417 0.901  0.13
20 S 0.685 0.307 0.366  0.01

=====

DFT (PBE-GGA) results for a geometry-optimized SbPbBr3 structure.

Results
Final energy in eV per atom: -2.664
V in Å³/cell: 185.5
Mass density in g cm⁻³: 5.091
SG: Pm-3m, No. 221
Spin magnetization in Bohr magnetons per cell: 1.1

Lattice parameters (Å, degrees): 5.703 5.703 5.703 90.00 90.00 90.00
Each line ends with the local moment (μB).
Positions (direct):
1 Br 0.000 0.500 0.000  0.00
2 Pb 0.500 0.500 0.500  0.39
3 Sb 0.000 0.000 0.000  0.00
4 Br 0.500 0.000 0.000  -0.01
5 Br 0.000 0.000 0.500  0.01

=====

DFT (PBE-GGA) results for a geometry-optimized PrNd4Y10 structure.

Results
V in Å³/cell: 555.4
Mass density in g cm⁻³: 4.804
SG: I4/m, No. 87
Formation energy in eV/atom: 0.554
Spin magnetization in Bohr magnetons per cell: 0.0

Lattice parameters (Å, degrees): 6.574 9.762 9.762 83.49 70.32 70.32
Positions (direct):
1 Y 0.120 0.424 0.836
2 Pr 0.000 0.000 0.000
3 Y 0.621 0.424 0.836
4 Y 0.379 0.576 0.164
5 Nd 0.672 0.761 0.895
6 Y 0.456 0.164 0.424
7 Nd 0.567 0.105 0.761
8 Nd 0.328 0.239 0.105
9 Y 0.544 0.836 0.576
10 Y 0.880 0.576 0.164
11 Y 0.044 0.836 0.576
12 Y 0.956 0.164 0.424
13 Nd 0.433 0.895 0.239
14 Y 0.750 0.500 0.500
15 Y 0.250 0.500 0.500

=====

DFT (PBE-GGA) results for a geometry-optimized DyEr4Tm6 structure.

Results
V in Å³/cell: 363.2
Mass density in g cm⁻³: 8.437
SG: I-42m, No. 121
Formation energy in eV/atom: 0.469
Spin magnetization in Bohr magnetons per cell: 0.0

Lattice parameters (Å, degrees): 7.469 7.469 8.383 116.46 116.46 90.00
Positions (direct):
1 Tm 0.556 0.556 0.632
2 Er 0.243 0.243 0.157
3 Er 0.757 0.086 0.843
4 Tm 0.444 0.924 0.368
5 Dy 0.500 0.500 0.000
6 Tm 0.924 0.444 0.368
7 Er 0.086 0.757 0.843
8 Tm 0.076 0.076 0.632
9 Er 0.914 0.914 0.157
10 Tm 0.500 0.000 0.000
11 Tm 0.000 0.500 0.000

=====

DFT (PBE-GGA) results for a geometry-optimized SiSbPd5 structure.

Results
Final energy in eV per atom: -5.308
V in Å³/cell: 253.6
Mass density in g cm⁻³: 8.930
SG: C2/c, No. 15
Spin magnetization in Bohr magnetons per cell: 0.0

Lattice parameters (Å, degrees): 6.570 6.570 9.435 52.15 52.15 69.79
Positions (direct):
1 Si 0.000 0.000 0.500
2 Pd 0.651 0.140 0.963
3 Pd 0.755 0.621 0.836
4 Pd 0.907 0.093 0.250
5 Pd 0.379 0.245 0.664
6 Pd 0.093 0.907 0.750
7 Pd 0.245 0.379 0.164
8 Pd 0.140 0.651 0.463
9 Si 0.000 0.000 0.000
10 Pd 0.349 0.860 0.037
11 Pd 0.860 0.349 0.537
12 Pd 0.621 0.755 0.336
13 Sb 0.557 0.443 0.250
14 Sb 0.443 0.557 0.750

=====

DFT (PBE-GGA) results for a geometry-optimized PrSm2Sc3 structure.

Results
V in Å³/cell: 366.7
Mass density in g cm⁻³: 5.221
SG: P-3m1, No. 164
Formation energy in eV/atom: 0.267
Spin magnetization in Bohr magnetons per cell: 0.0

Lattice parameters (Å, degrees): 6.764 6.764 9.255 90.00 90.00 120.00
Positions (direct):
1 Sm 0.000 0.000 0.000
2 Pr 0.333 0.667 0.948
3 Sm 0.667 0.333 0.413
4 Sc 0.186 0.373 0.266
5 Sc 0.814 0.186 0.734
6 Sc 0.814 0.627 0.734
7 Sc 0.373 0.186 0.734
8 Sm 0.333 0.667 0.587
9 Sc 0.186 0.814 0.266
10 Pr 0.667 0.333 0.052
11 Sc 0.627 0.814 0.266
12 Sm 0.000 0.000 0.500

=====

DFT (PBE-GGA) results for a geometry-optimized TbDyZnNi structure.

Results
V in Å³/cell: 84.2
Mass density in g cm⁻³: 8.786
SG: P4mm, No. 99
Formation energy in eV/atom: -0.370
Spin magnetization in Bohr magnetons per cell: 0.0

Lattice parameters (Å, degrees): 3.472 3.472 6.987 90.00 90.00 90.00
Positions (direct):
1 Ni 0.500 0.500 0.109
2 Zn 0.500 0.500 0.605
3 Dy 0.000 0.000 0.341
4 Tb 0.000 0.000 0.873

=====

DFT (PBE-GGA) results for a geometry-optimized BaHoCdIn structure.

Results
V in Å³/cell: 128.6
Mass density in g cm⁻³: 6.837
SG: F-43m, No. 216
Formation energy in eV/atom: -0.247
Spin magnetization in Bohr magnetons per cell: 0.0

Lattice parameters (Å, degrees): 5.666 5.666 5.666 60.00 60.00 60.00
Positions (direct):
1 Cd 0.750 0.750 0.750
2 In 0.250 0.250 0.250
3 Ba 0.000 0.000 0.000
4 Ho 0.500 0.500 0.500